Entry 1:
This record from Alexandria via LeMat-Bulk describes an optimized crystal structure of SrTlIn2P. The functional is PBE.

Lattice parameters (Å, degrees): 5.2872 5.7267 5.2872 90.00 90.00 90.00
Fractional positions:
In 0.0000 0.0000 0.5000
In 0.5000 0.0000 0.0000
Tl 0.5000 0.5000 0.5000
P 0.0000 0.0000 0.0000
Sr 0.0000 0.5000 0.0000

Results
Volume: 160.1 Å³ per cell
Formation enthalpy at 0 K: -76 meV per atom
Uncorrected energy: -0.22515 Ry/atom
DOS(E_F): 3.1 states/eV/f.u.

***

Entry 2:
This record from Alexandria via LeMat-Bulk describes an optimized crystal structure of Tl2TeI6. The functional is PBE.

Lattice parameters (Å, degrees): 8.7039 7.9801 11.3637 89.16 90.00 90.00
Fractional positions:
I 0.0115 0.0926 0.7455
I 0.1846 0.6931 0.9537
I 0.5115 0.4074 0.7545
I 0.2923 0.1852 0.0417
I 0.8154 0.3069 0.0463
I 0.4885 0.5926 0.2455
I 0.2077 0.6852 0.5417
I 0.7077 0.8148 0.9583
I 0.6846 0.8069 0.5463
I 0.3154 0.1931 0.4537
I 0.9885 0.9074 0.2545
I 0.7923 0.3148 0.4583
Tl 0.9004 0.5276 0.7541
Tl 0.4004 0.9724 0.7459
Tl 0.5996 0.0276 0.2541
Tl 0.0996 0.4724 0.2459
Te 0.0000 0.0000 0.0000
Te 0.5000 0.5000 0.5000

Results
Relative energy among the computed polymorphs: 0.0 meV per atom
Volume: 789.2 Å³ per cell
Uncorrected energy: -0.16753 Ry/atom
DOS(E_F): 0.0 states/eV/f.u.

***

Entry 3:
This record from Alexandria via LeMat-Bulk describes an optimized crystal structure of Ce9CdGa2. The functional is PBE.

Lattice parameters (Å, degrees): 4.6862 4.6862 14.0551 90.00 90.00 90.00
Fractional positions:
Cd 0.0000 0.0000 0.0000
Ce 0.5000 0.0000 0.1760
Ce 0.0000 0.5000 0.5000
Ce 0.0000 0.5000 0.8240
Ce 0.5000 0.5000 0.6660
Ce 0.5000 0.5000 0.0000
Ce 0.5000 0.5000 0.3340
Ce 0.5000 0.0000 0.8240
Ce 0.0000 0.5000 0.1760
Ce 0.5000 0.0000 0.5000
Ga 0.0000 0.0000 0.6633
Ga 0.0000 0.0000 0.3367

Results
Volume: 308.7 Å³ per cell
Formation enthalpy at 0 K: -166 meV per atom
Uncorrected energy: -0.38200 Ry/atom
DOS(E_F): 36.4 states/eV/f.u.

***

Entry 4:
This record from Alexandria via LeMat-Bulk describes an optimized crystal structure of Ho5Hg2Rh. The functional is PBE.

Lattice parameters (Å, degrees): 5.6340 6.7151 12.5668 90.00 90.00 114.80
Fractional positions:
Hg 0.1817 0.3633 0.8708
Hg 0.8183 0.6367 0.1292
Hg 0.8183 0.6367 0.3708
Hg 0.1817 0.3633 0.6292
Ho 0.6258 0.2515 0.5639
Ho 0.9238 0.8475 0.8952
Ho 0.6025 0.2050 0.2500
Ho 0.3742 0.7485 0.0639
Ho 0.0762 0.1525 0.3952
Ho 0.0762 0.1525 0.1048
Ho 0.3975 0.7950 0.7500
Ho 0.9238 0.8475 0.6048
Ho 0.3742 0.7485 0.4361
Ho 0.6258 0.2515 0.9361
Rh 0.7609 0.5218 0.7500
Rh 0.2391 0.4782 0.2500

Results
Relative energy among the computed polymorphs: 240.0 meV per atom
Volume: 431.6 Å³ per cell
Formation enthalpy at 0 K: -267 meV per atom
Uncorrected energy: -0.30300 Ry/atom
DOS(E_F): 8.5 states/eV/f.u.

***

Entry 5:
This record from Alexandria via LeMat-Bulk describes an optimized crystal structure of UFeB2. The functional is PBE.

Lattice parameters (Å, degrees): 3.4713 3.4713 4.8378 68.98 68.98 60.00
Fractional positions:
B 0.2983 0.2983 0.1050
B 0.7017 0.7017 0.8950
Fe 0.0000 0.0000 0.0000
U 0.5000 0.5000 0.5000

Results
Relative energy among the computed polymorphs: 233.2 meV per atom
Volume: 46.0 Å³ per cell
Formation enthalpy at 0 K: -175 meV per atom
Uncorrected energy: -0.62120 Ry/atom
DOS(E_F): 4.1 states/eV/f.u.

***

Entry 6:
This record from Alexandria via LeMat-Bulk describes an optimized crystal structure of Mn2CdIr2. The functional is PBE.

Lattice parameters (Å, degrees): 6.0481 6.0481 6.0481 141.44 141.44 55.67
Fractional positions:
Ir 0.3856 0.3856 0.0000
Ir 0.6144 0.6144 0.0000
Cd 0.0000 0.0000 0.0000
Mn 0.7500 0.2500 0.5000
Mn 0.2500 0.7500 0.5000

Results
Relative energy among the computed polymorphs: 148.0 meV per atom
Volume: 85.3 Å³ per cell
Formation enthalpy at 0 K: 182 meV per atom
Uncorrected energy: -0.53013 Ry/atom
DOS(E_F): 3.9 states/eV/f.u.

***

Entry 7:
This record from Alexandria via LeMat-Bulk describes an optimized crystal structure of Cd2TeOs. The functional is PBE.

Lattice parameters (Å, degrees): 5.1827 5.1827 5.1827 129.68 129.68 73.92
Fractional positions:
Os 0.5000 0.5000 0.0000
Cd 0.2500 0.7500 0.5000
Cd 0.0000 0.0000 0.0000
Te 0.7500 0.2500 0.5000

Results
Volume: 80.4 Å³ per cell
Uncorrected energy: -0.24873 Ry/atom
DOS(E_F): 2.0 states/eV/f.u.

***

Entry 8:
This record from Alexandria via LeMat-Bulk describes an optimized crystal structure of Mg2PdAu. The functional is PBE.

Lattice parameters (Å, degrees): 3.1616 3.1616 8.5167 79.30 79.30 60.00
Fractional positions:
Mg 0.0867 0.0867 0.7400
Mg 0.2468 0.2468 0.2597
Au 0.6662 0.6662 0.0013
Pd 0.5003 0.5003 0.4990

Results
Volume: 72.0 Å³ per cell
Formation enthalpy at 0 K: -452 meV per atom
Uncorrected energy: -0.24746 Ry/atom
DOS(E_F): 1.6 states/eV/f.u.